No. 1
# Sc2CoOs, relaxed, DFT PBE
data_Sc2CoOs
_space_group_name_H-M_alt 'P 1'
_space_group_IT_number 1
_space_group_name_Hall 'P 1'
_cell_length_a 4.489
_cell_length_b 4.489
_cell_length_c 4.489
_cell_angle_alpha 60.00
_cell_angle_beta 60.00
_cell_angle_gamma 60.00
loop_
_atom_site_label
_atom_site_type_symbol
_atom_site_fract_x
_atom_site_fract_y
_atom_site_fract_z
_atom_site_occupancy
Sc1 Sc 0.250 0.250 0.250 1
Sc2 Sc 0.750 0.750 0.750 1
Co1 Co 0.000 0.000 0.000 1
Os1 Os 0.500 0.500 0.500 1
# - calculated density (g/cm3) = 8.8
# - excess energy over the best structure of this formula in the dataset (meV per atom) = 0
# - ΔE_f (eV/f.u.) = -1.47
# - crystal system = cubic
# - space group = Fm-3m, No. 225



No. 2
# Sc2CoOs, relaxed, DFT PBE
data_Sc2CoOs
_space_group_name_H-M_alt 'P 1'
_space_group_IT_number 1
_space_group_name_Hall 'P 1'
_cell_length_a 9.122
_cell_length_b 9.122
_cell_length_c 9.122
_cell_angle_alpha 18.97
_cell_angle_beta 18.97
_cell_angle_gamma 18.97
loop_
_atom_site_label
_atom_site_type_symbol
_atom_site_fract_x
_atom_site_fract_y
_atom_site_fract_z
_atom_site_occupancy
Co1 Co 0.495 0.495 0.495 1
Os1 Os 0.756 0.756 0.756 1
Sc1 Sc 0.013 0.013 0.013 1
Sc2 Sc 0.236 0.236 0.236 1
# - calculated density (g/cm3) = 8.0
# - excess energy over the best structure of this formula in the dataset (meV per atom) = 650
# - ΔE_f (eV/f.u.) = 1.13
# - crystal system = trigonal
# - space group = R3m, No. 160



No. 3
# ScCoOs3, relaxed, DFT PBE
data_ScCoOs3
_space_group_name_H-M_alt 'P 1'
_space_group_IT_number 1
_space_group_name_Hall 'P 1'
_cell_length_a 4.442
_cell_length_b 4.442
_cell_length_c 4.442
_cell_angle_alpha 90.00
_cell_angle_beta 90.00
_cell_angle_gamma 90.00
loop_
_atom_site_label
_atom_site_type_symbol
_atom_site_fract_x
_atom_site_fract_y
_atom_site_fract_z
_atom_site_occupancy
Sc1 Sc 0.500 0.500 0.500 1
Co1 Co 0.000 0.000 0.000 1
Os1 Os 0.000 0.500 0.000 1
Os2 Os 0.000 0.000 0.500 1
Os3 Os 0.500 0.000 0.000 1
# - calculated density (g/cm3) = 12.8
# - excess energy over the best structure of this formula in the dataset (meV per atom) = 0
# - ΔE_f (eV/f.u.) = 5.83
# - crystal system = cubic
# - space group = Pm-3m, No. 221